The following is a PBE calculation of a relaxed structure of Tl2CdIn12, from Alexandria via LeMat-Bulk.

Lattice parameters (Å, degrees): 6.791 6.791 19.075 90.00 90.00 90.00
Element x y z (fractional)
Tl1 0.250 0.750 0.236
Tl2 0.250 0.750 0.764
Tl3 0.750 0.250 0.236
Tl4 0.750 0.250 0.764
Cd1 0.250 0.750 0.500
Cd2 0.750 0.250 0.500
In1 0.001 0.501 0.406
In2 0.001 0.999 0.594
In3 0.082 0.582 0.932
In4 0.082 0.918 0.068
In5 0.250 0.250 0.157
In6 0.250 0.250 0.308
In7 0.250 0.250 0.692
In8 0.250 0.250 0.843
In9 0.418 0.582 0.068
In10 0.418 0.918 0.932
In11 0.499 0.501 0.594
In12 0.499 0.999 0.406
In13 0.501 0.001 0.594
In14 0.501 0.499 0.406
In15 0.582 0.082 0.068
In16 0.582 0.418 0.932
In17 0.750 0.750 0.157
In18 0.750 0.750 0.308
In19 0.750 0.750 0.692
In20 0.750 0.750 0.843
In21 0.918 0.082 0.932
In22 0.918 0.418 0.068
In23 0.999 0.001 0.406
In24 0.999 0.499 0.594

Uncorrected energy (eV/atom): -2.5095
Energy of formation from the pure elements (eV per atom): 0.058


The following is a PBE calculation of a relaxed structure of TlCd7In4, from Alexandria via LeMat-Bulk.

Lattice parameters (Å, degrees): 3.387 3.387 30.237 90.00 90.00 120.00
Element x y z (fractional)
Tl1 0.000 0.000 0.000
Cd1 0.000 0.000 0.254
Cd2 0.000 0.000 0.500
Cd3 0.000 0.000 0.746
Cd4 0.333 0.667 0.666
Cd5 0.333 0.667 0.912
Cd6 0.667 0.333 0.088
Cd7 0.667 0.333 0.334
In1 0.333 0.667 0.172
In2 0.333 0.667 0.417
In3 0.667 0.333 0.583
In4 0.667 0.333 0.828

Uncorrected energy (eV/atom): -1.6107
Energy of formation from the pure elements (eV per atom): 0.033


The following is a PBE calculation of a relaxed structure of TlCdIn2, from Alexandria via LeMat-Bulk.

Lattice parameters (Å, degrees): 10.632 10.632 10.632 18.73 18.73 18.73
Element x y z (fractional)
Tl1 0.000 0.000 0.000
Cd1 0.500 0.500 0.500
In1 0.246 0.246 0.246
In2 0.754 0.754 0.754

Uncorrected energy (eV/atom): -2.1572
Energy of formation from the pure elements (eV per atom): 0.032


The following is a PBE calculation of a relaxed structure of TlCd3In4, from Alexandria via LeMat-Bulk.

Lattice parameters (Å, degrees): 10.077 7.107 5.872 90.00 90.00 90.00
Element x y z (fractional)
Tl1 0.000 0.000 0.000
Tl2 0.500 0.000 0.000
Cd1 0.000 0.500 0.000
Cd2 0.250 0.000 0.365
Cd3 0.250 0.500 0.334
Cd4 0.500 0.500 0.000
Cd5 0.750 0.000 0.635
Cd6 0.750 0.500 0.666
In1 0.000 0.259 0.500
In2 0.000 0.741 0.500
In3 0.250 0.260 0.844
In4 0.250 0.740 0.844
In5 0.500 0.259 0.500
In6 0.500 0.741 0.500
In7 0.750 0.260 0.156
In8 0.750 0.740 0.156

Uncorrected energy (eV/atom): -1.9649
Energy of formation from the pure elements (eV per atom): 0.043